# Sb2Te2S (PBE, relaxed)
# **E_form (uncorrected)**: 0.095 eV/atom
data_Sb2Te2S
_chemical_formula_sum 'Sb4 Te4 S2'
_symmetry_space_group_name_H-M 'P 4/m b m'
_symmetry_Int_Tables_number 127
_symmetry_space_group_name_Hall '-P 4 2ab'
_cell_length_a 8.013
_cell_length_b 8.013
_cell_length_c 4.383
_cell_angle_alpha 90.00
_cell_angle_beta 90.00
_cell_angle_gamma 90.00
loop_
_atom_site_label
_atom_site_type_symbol
_atom_site_fract_x
_atom_site_fract_y
_atom_site_fract_z
_atom_site_occupancy
Sb1 Sb 0.186 0.314 0.000 1
Te1 Te 0.146 0.646 0.500 1
S1 S 0.000 0.000 0.000 1

# SrRe2Pt (PBE, relaxed)
# **Energy of formation**: 904 meV/atom
data_SrRe2Pt
_chemical_formula_sum 'Sr2 Re4 Pt2'
_symmetry_space_group_name_H-M 'I 4/m m m'
_symmetry_Int_Tables_number 139
_symmetry_space_group_name_Hall '-I 4 2'
_cell_length_a 3.920
_cell_length_b 3.920
_cell_length_c 9.764
_cell_angle_alpha 90.00
_cell_angle_beta 90.00
_cell_angle_gamma 90.00
loop_
_atom_site_label
_atom_site_type_symbol
_atom_site_fract_x
_atom_site_fract_y
_atom_site_fract_z
_atom_site_occupancy
Sr1 Sr 0.000 0.000 0.000 1
Re1 Re 0.000 0.500 0.250 1
Pt1 Pt 0.000 0.000 0.500 1

# Tb4AsPbS2 (PBE, relaxed)
# **E_form (uncorrected)**: -1.468 eV/atom
data_Tb4AsPbS2
_chemical_formula_sum 'Tb4 As1 Pb1 S2'
_symmetry_space_group_name_H-M 'P 1 2/m 1'
_symmetry_Int_Tables_number 10
_symmetry_space_group_name_Hall '-P 2y'
_cell_length_a 7.144
_cell_length_b 4.086
_cell_length_c 7.210
_cell_angle_alpha 90.00
_cell_angle_beta 109.35
_cell_angle_gamma 90.00
loop_
_atom_site_label
_atom_site_type_symbol
_atom_site_fract_x
_atom_site_fract_y
_atom_site_fract_z
_atom_site_occupancy
Tb1 Tb 0.232 0.000 0.232 1
Tb2 Tb 0.242 0.500 0.757 1
As1 As 0.500 0.000 0.000 1
Pb1 Pb 0.500 0.500 0.500 1
S1 S 0.000 0.000 0.500 1
S2 S 0.000 0.500 0.000 1

# CrGePS2 (PBE, relaxed)
# **E_form (uncorrected)**: 0.358 eV/atom
data_CrGePS2
_chemical_formula_sum 'Cr1 Ge1 P1 S2'
_symmetry_space_group_name_H-M 'P 4/m m m'
_symmetry_Int_Tables_number 123
_symmetry_space_group_name_Hall '-P 4 2'
_cell_length_a 4.344
_cell_length_b 4.344
_cell_length_c 4.897
_cell_angle_alpha 90.00
_cell_angle_beta 90.00
_cell_angle_gamma 90.00
loop_
_atom_site_label
_atom_site_type_symbol
_atom_site_fract_x
_atom_site_fract_y
_atom_site_fract_z
_atom_site_occupancy
Cr1 Cr 0.000 0.000 0.000 1
Ge1 Ge 0.500 0.500 0.500 1
P1 P 0.000 0.000 0.500 1
S1 S 0.000 0.500 0.000 1

# CaAcSnN3 (PBE, relaxed)
# **E_form (uncorrected)**: -0.630 eV/atom
data_CaAcSnN3
_chemical_formula_sum 'Ca2 Ac2 Sn2 N6'
_symmetry_space_group_name_H-M 'P 1 21/m 1'
_symmetry_Int_Tables_number 11
_symmetry_space_group_name_Hall '-P 2yb'
_cell_length_a 6.212
_cell_length_b 3.552
_cell_length_c 9.172
_cell_angle_alpha 90.00
_cell_angle_beta 91.99
_cell_angle_gamma 90.00
loop_
_atom_site_label
_atom_site_type_symbol
_atom_site_fract_x
_atom_site_fract_y
_atom_site_fract_z
_atom_site_occupancy
Ca1 Ca 0.250 0.250 0.035 1
Ac1 Ac 0.225 0.750 0.689 1
Sn1 Sn 0.270 0.750 0.320 1
N1 N 0.010 0.750 0.169 1
N2 N 0.243 0.250 0.455 1
N3 N 0.481 0.250 0.824 1

# AgSeF5 (PBE, relaxed)
# **E_form (uncorrected)**: -1.527 eV/atom
data_AgSeF5
_chemical_formula_sum 'Ag4 Se4 F20'
_symmetry_space_group_name_H-M 'C 1 c 1'
_symmetry_Int_Tables_number 9
_symmetry_space_group_name_Hall 'C -2yc'
_cell_length_a 8.602
_cell_length_b 6.905
_cell_length_c 8.704
_cell_angle_alpha 90.00
_cell_angle_beta 109.83
_cell_angle_gamma 90.00
loop_
_atom_site_label
_atom_site_type_symbol
_atom_site_fract_x
_atom_site_fract_y
_atom_site_fract_z
_atom_site_occupancy
Ag1 Ag 0.000 0.023 0.000 1
Se1 Se 0.490 0.053 0.775 1
F1 F 0.034 0.169 0.270 1
F2 F 0.201 0.494 0.432 1
F3 F 0.268 0.106 0.653 1
F4 F 0.431 0.201 0.304 1
F5 F 0.433 0.116 0.946 1

# NaGaTeN2 (PBE, relaxed)
# **E_form (uncorrected)**: 1.244 eV/atom
data_NaGaTeN2
_chemical_formula_sum 'Na1 Ga1 Te1 N2'
_symmetry_space_group_name_H-M 'P 4/m m m'
_symmetry_Int_Tables_number 123
_symmetry_space_group_name_Hall '-P 4 2'
_cell_length_a 4.216
_cell_length_b 4.216
_cell_length_c 5.379
_cell_angle_alpha 90.00
_cell_angle_beta 90.00
_cell_angle_gamma 90.00
loop_
_atom_site_label
_atom_site_type_symbol
_atom_site_fract_x
_atom_site_fract_y
_atom_site_fract_z
_atom_site_occupancy
Na1 Na 0.000 0.000 0.000 1
Ga1 Ga 0.500 0.500 0.000 1
Te1 Te 0.500 0.500 0.500 1
N1 N 0.000 0.500 0.500 1

# YSi2Rh2 (PBE, relaxed)
# **E_form (uncorrected)**: -0.632 eV/atom
data_YSi2Rh2
_chemical_formula_sum 'Y2 Si4 Rh4'
_symmetry_space_group_name_H-M 'P 4/m b m'
_symmetry_Int_Tables_number 127
_symmetry_space_group_name_Hall '-P 4 2ab'
_cell_length_a 7.444
_cell_length_b 7.444
_cell_length_c 2.841
_cell_angle_alpha 90.00
_cell_angle_beta 90.00
_cell_angle_gamma 90.00
loop_
_atom_site_label
_atom_site_type_symbol
_atom_site_fract_x
_atom_site_fract_y
_atom_site_fract_z
_atom_site_occupancy
Y1 Y 0.000 0.000 0.000 1
Si1 Si 0.141 0.359 0.000 1
Rh1 Rh 0.144 0.644 0.500 1

| no. | volume (Å³ per cell) | total energy (eV per cell) |
| --- | --- | --- |
| 1 | 281.44 | -36.363 |
| 2 | 150.05 | -58.003 |
| 3 | 198.58 | -46.874 |
| 4 | 92.42 | -26.116 |
| 5 | 202.25 | -77.735 |
| 6 | 486.36 | -105.521 |
| 7 | 95.63 | -17.917 |
| 8 | 157.42 | -70.349 |